Entry from Alexandria via LeMat-Bulk: a relaxed TbAgPd2 crystal (PBE).

Properties
The energy above the lowest structure with this stoichiometry is 0 meV per atom. The space group is P4/mmm (123). For the energy of formation, the calculation gives -673.4 meV per atom. For the size of the total moment, the calculation gives 0.0 μB per cell.

a = 3.928 Å, b = 4.330 Å, c = 4.330 Å
α = 90.00°, β = 90.00°, γ = 90.00°
Positions (direct):
Pd: 0.000 0.500 0.000
Ag: 0.500 0.000 0.000
Tb: 0.500 0.500 0.500
Pd: 0.000 0.000 0.500


Entry from Alexandria via LeMat-Bulk: a relaxed Tb4Ag2Pd crystal (PBE).

Properties
The space group is R-3m (166). For the energy of formation, the calculation gives -314.1 meV per atom. For the size of the total moment, the calculation gives 0.0 μB per cell.

a = 5.063 Å, b = 5.063 Å, c = 8.779 Å
α = 73.24°, β = 73.24°, γ = 60.00°
Positions (direct):
Ag: 0.753 0.753 0.742
Tb: 0.626 0.626 0.121
Tb: 0.124 0.124 0.628
Tb: 0.876 0.876 0.372
Ag: 0.247 0.247 0.258
Tb: 0.374 0.374 0.879
Pd: 0.000 0.000 0.000


Entry from Alexandria via LeMat-Bulk: a relaxed Tb2Ag4Pd3 crystal (PBE).

Properties
The space group is C2/m (12). For the energy of formation, the calculation gives -468.0 meV per atom. For the size of the total moment, the calculation gives 0.0 μB per cell.

a = 4.229 Å, b = 5.402 Å, c = 8.514 Å
α = 76.18°, β = 75.62°, γ = 66.96°
Positions (direct):
Pd: 0.660 0.236 0.445
Ag: 0.997 0.667 0.339
Tb: 0.670 0.896 0.765
Pd: 0.340 0.764 0.555
Pd: 0.000 0.000 0.000
Ag: 0.003 0.333 0.661
Ag: 0.332 0.446 0.889
Ag: 0.668 0.554 0.111
Tb: 0.330 0.104 0.235